A plane-wave DFT calculation with PBEsol was carried out for CoAg3 after structural relaxation.

Calculated values
- E_form: 261 meV/atom
- Final energy: -4.157 eV/atom
- Volume: 15.080 Å³ per atom

Unit cell a=2.766 b=2.766 c=9.242 alpha=81.39 beta=81.39 gamma=60.00
Element x y z (fractional)
Ag: 0.745 0.745 0.764
Ag: 0.500 0.500 0.500
Ag: 0.255 0.255 0.236
Co: 0.000 0.000 0.000